DFT (GGA-PBE) results for a relaxed structure of CaRh3C.

Unit cell a=5.0060 b=5.8035 c=5.3174 alpha=90.00 beta=85.13 gamma=90.00
With the nearest neighbours (Å) after each atom.
Element x y z (fractional)
1 Rh 0.2409 0.5061 0.8543  2 C 2.03-2.07
2 Rh 0.2409 0.9939 0.8543  2 C 2.03-2.07
3 Rh 0.2933 0.2500 0.3230  1 C 1.92
4 Rh 0.7591 0.4939 0.1457  2 C 2.03-2.07
5 Rh 0.7067 0.7500 0.6770  1 C 1.92
6 Rh 0.7591 0.0061 0.1457  2 C 2.03-2.07
7 Ca 0.2340 0.7500 0.3522  1 C 2.73, 8 Rh 2.92-3.05
8 Ca 0.7660 0.2500 0.6478  1 C 2.73, 8 Rh 2.92-3.05
9 C 0.9561 0.7500 0.9322  5 Rh 1.92-2.07
10 C 0.0439 0.2500 0.0678  5 Rh 1.92-2.07

DFT formation energy   -0.5 eV/f.u.